No. 1
A relaxed structure of Ge2Pd7Pb. Source: the Alexandria database, functional PBE-GGA.

```
Ge2Pd7Pb
1.0
-2.0418 2.0418 10.1938
2.0418 -2.0418 10.1938
2.0418 2.0418 -10.1938
Ge Pd Pb
2 7 1
Direct
0.1749 0.1749 0.0000
0.8251 0.8251 0.0000
0.0000 0.0000 0.0000
0.1038 0.6038 0.5000
0.2500 0.7500 0.5000
0.3962 0.8962 0.5000
0.6038 0.1038 0.5000
0.7500 0.2500 0.5000
0.8962 0.3962 0.5000
0.5000 0.5000 0.0000
```

Results
DOS(E_F): 3.08 states/eV per cell
ΔE to the lowest computed polymorph: 0.0 meV/atom
ΔH_f (0 K): -0.404 eV/atom

No. 2
A relaxed structure of GePd8Pb2. Source: the Alexandria database, functional PBE-GGA.

```
GePd8Pb2
1.0
7.5939 -2.3132 0.0000
7.5939 2.3132 0.0000
-2.2707 0.0000 5.4285
Ge Pd Pb
1 8 2
Direct
0.0000 0.0000 0.0000
0.1354 0.1354 0.3916
0.1366 0.1366 0.8825
0.3167 0.3167 0.8155
0.4997 0.4997 0.2403
0.5003 0.5003 0.7597
0.6833 0.6833 0.1845
0.8634 0.8634 0.1175
0.8646 0.8646 0.6084
0.3206 0.3206 0.3208
0.6794 0.6794 0.6792
```

Results
DOS(E_F): 5.08 states/eV per cell
ΔH_f (0 K): -0.278 eV/atom

No. 3
A relaxed structure of GePd2Pb. Source: the Alexandria database, functional PBE-GGA.

```
GePd2Pb
1.0
4.1656 0.0000 0.0000
-2.0828 3.6075 0.0000
0.0000 0.0000 16.2541
Ge Pd Pb
3 6 3
Direct
0.0000 0.0000 0.0000
0.3333 0.6667 0.6667
0.6667 0.3333 0.3333
0.0000 0.0000 0.2846
0.0000 0.0000 0.7154
0.3333 0.6667 0.3821
0.3333 0.6667 0.9512
0.6667 0.3333 0.0488
0.6667 0.3333 0.6179
0.0000 0.0000 0.5000
0.3333 0.6667 0.1667
0.6667 0.3333 0.8333
```

Results
DOS(E_F): 4.30 states/eV per cell
ΔE to the lowest computed polymorph: 105.2 meV/atom
ΔH_f (0 K): -0.260 eV/atom

No. 4
A relaxed structure of GePd2Pb. Source: the Alexandria database, functional PBE-GGA.

```
GePd2Pb
1.0
6.6749 0.0000 0.0000
0.0000 6.6749 0.0000
0.0000 0.0000 6.6749
Ge Pd Pb
4 8 4
Direct
0.0000 0.0000 0.0000
0.0000 0.5000 0.5000
0.5000 0.0000 0.5000
0.5000 0.5000 0.0000
0.2500 0.2500 0.2500
0.2500 0.2500 0.7500
0.2500 0.7500 0.2500
0.2500 0.7500 0.7500
0.7500 0.2500 0.2500
0.7500 0.2500 0.7500
0.7500 0.7500 0.2500
0.7500 0.7500 0.7500
0.0000 0.0000 0.5000
0.0000 0.5000 0.0000
0.5000 0.0000 0.0000
0.5000 0.5000 0.5000
```

Results
DOS(E_F): 7.72 states/eV per cell
ΔE to the lowest computed polymorph: 227.3 meV/atom
ΔH_f (0 K): -0.138 eV/atom

No. 5
A relaxed structure of GePdPb3. Source: the Alexandria database, functional PBE-GGA.

```
GePdPb3
1.0
5.4448 0.0000 0.0000
0.0000 5.4448 0.0000
0.0000 0.0000 5.4448
Ge Pd Pb
1 1 3
Direct
0.0000 0.0000 0.0000
0.5000 0.5000 0.5000
0.0000 0.0000 0.5000
0.0000 0.5000 0.0000
0.5000 0.0000 0.0000
```

Results
DOS(E_F): 3.05 states/eV per cell
ΔE to the lowest computed polymorph: 392.4 meV/atom
ΔH_f (0 K): 0.674 eV/atom

No. 6
A relaxed structure of Ge2Pd7Pb. Source: the Alexandria database, functional PBE-GGA.

```
Ge2Pd7Pb
1.0
3.6898 -6.0215 0.0000
3.6898 6.0215 0.0000
0.0000 0.0000 4.5158
Ge Pd Pb
2 7 1
Direct
0.1986 0.8014 0.0000
0.8014 0.1986 0.0000
0.0000 0.0000 0.0000
0.1884 0.4347 0.0000
0.2709 0.7291 0.5000
0.4347 0.1884 0.0000
0.5653 0.8116 0.0000
0.7291 0.2709 0.5000
0.8116 0.5653 0.0000
0.5000 0.5000 0.5000
```

Results
DOS(E_F): 5.34 states/eV per cell
ΔE to the lowest computed polymorph: 300.1 meV/atom
ΔH_f (0 K): -0.104 eV/atom

No. 7
A relaxed structure of GePd2Pb. Source: the Alexandria database, functional PBE-GGA.

```
GePd2Pb
1.0
5.8924 0.0000 0.0000
0.0000 15.2623 0.0000
0.0000 0.0000 6.9142
Ge Pd Pb
8 16 8
Direct
0.1882 0.0555 0.0458
0.1882 0.4445 0.5458
0.3118 0.5555 0.0458
0.3118 0.9445 0.5458
0.6882 0.0555 0.4542
0.6882 0.4445 0.9542
0.8118 0.5555 0.4542
0.8118 0.9445 0.9542
0.0082 0.0446 0.6971
0.0082 0.4554 0.1971
0.0117 0.6496 0.2058
0.0117 0.8504 0.7058
0.4883 0.1496 0.2058
0.4883 0.3504 0.7058
0.4918 0.5446 0.6971
0.4918 0.9554 0.1971
0.5082 0.0446 0.8029
0.5082 0.4554 0.3029
0.5117 0.6496 0.2942
0.5117 0.8504 0.7942
0.9883 0.1496 0.2942
0.9883 0.3504 0.7942
0.9918 0.5446 0.8029
0.9918 0.9554 0.3029
0.2074 0.6919 0.5906
0.2074 0.8081 0.0906
0.2926 0.1919 0.5906
0.2926 0.3081 0.0906
0.7074 0.6919 0.9094
0.7074 0.8081 0.4094
0.7926 0.1919 0.9094
0.7926 0.3081 0.4094
```

Results
DOS(E_F): 10.94 states/eV per cell
ΔE to the lowest computed polymorph: 0.0 meV/atom
ΔH_f (0 K): -0.365 eV/atom

No. 8
A relaxed structure of GePdPb3. Source: the Alexandria database, functional PBE-GGA.

```
GePdPb3
1.0
5.3508 0.0000 0.0000
0.0000 5.3508 0.0000
0.0000 0.0000 5.3508
Ge Pd Pb
1 1 3
Direct
0.0000 0.0000 0.0000
0.5000 0.5000 0.5000
0.0000 0.5000 0.5000
0.5000 0.0000 0.5000
0.5000 0.5000 0.0000
```

Results
DOS(E_F): 2.03 states/eV per cell
ΔE to the lowest computed polymorph: 0.0 meV/atom
ΔH_f (0 K): 0.282 eV/atom

> ΔH_f (0 K) of number 5 (GePdPb3)?

0.674 eV/atom